An optimized crystal structure of LiNd2Zn2. Source: the Alexandria database, functional PBE.

CIF file:
```
data_LiNd2Zn2
_cell_length_a 9.407
_cell_length_b 4.964
_cell_length_c 11.001
_cell_angle_alpha 90.00
_cell_angle_beta 114.57
_cell_angle_gamma 90.00
_symmetry_space_group_name_H-M 'C 1 2/m 1'
_symmetry_Int_Tables_number 12
_symmetry_space_group_name_Hall '-C 2y'
loop_
_atom_site_label
_atom_site_fract_x
_atom_site_fract_y
_atom_site_fract_z
Li1 0.178 0.000 0.382
Nd1 0.108 0.500 0.902
Nd2 0.176 0.000 0.686
Zn1 0.051 0.500 0.409
Zn2 0.090 0.000 0.126
```

Output
- Crystal system: monoclinic
- Fermi-level density of states: 13.2 states/eV/cell
- Calculated density: 6.1 g/cm³
- Energy of formation from the pure elements: -203 meV/atom
- Total moment: 0.00 μB/cell



An optimized crystal structure of Rb3ZnAs2. Source: the Alexandria database, functional PBE.

CIF file:
```
data_Rb3ZnAs2
_cell_length_a 7.758
_cell_length_b 14.348
_cell_length_c 9.405
_cell_angle_alpha 90.00
_cell_angle_beta 90.00
_cell_angle_gamma 90.00
_symmetry_space_group_name_H-M 'I b a m'
_symmetry_Int_Tables_number 72
_symmetry_space_group_name_Hall '-I 2 2c'
loop_
_atom_site_label
_atom_site_fract_x
_atom_site_fract_y
_atom_site_fract_z
Rb1 0.000 0.000 0.250
Rb2 0.000 0.275 0.250
Zn1 0.000 0.500 0.000
As1 0.229 0.392 0.000
```

Output
- Crystal system: orthorhombic
- Fermi-level density of states: 20.3 states/eV/cell
- Calculated density: 3.0 g/cm³
- Energy of formation from the pure elements: -231 meV/atom
- Total moment: 4.26 μB/cell



An optimized crystal structure of AcTb3Bi3. Source: the Alexandria database, functional PBE.

CIF file:
```
data_AcTb3Bi3
_cell_length_a 9.5210
_cell_length_b 9.5210
_cell_length_c 18.9405
_cell_angle_alpha 90.00
_cell_angle_beta 90.00
_cell_angle_gamma 120.00
_symmetry_space_group_name_H-M 'R -3'
_symmetry_Int_Tables_number 148
_symmetry_space_group_name_Hall '-R 3'
loop_
_atom_site_label
_atom_site_fract_x
_atom_site_fract_y
_atom_site_fract_z
Ac1 0.0000 0.0000 0.1660
Tb1 0.0007 0.2607 0.5831
Bi1 0.0017 0.3760 0.4145
```

Output
- Crystal system: trigonal
- Fermi-level density of states: 34.0 states/eV/cell
- Calculated density: 8.9 g/cm³
- Energy of formation from the pure elements: -630 meV/atom
- Total moment: 0.00 μB/cell



An optimized crystal structure of Mg6SiMo. Source: the Alexandria database, functional PBE.

CIF file:
```
data_Mg6SiMo
_cell_length_a 4.802
_cell_length_b 6.049
_cell_length_c 10.560
_cell_angle_alpha 90.00
_cell_angle_beta 90.00
_cell_angle_gamma 90.00
_symmetry_space_group_name_H-M 'A m m 2'
_symmetry_Int_Tables_number 38
_symmetry_space_group_name_Hall 'A 2 -2'
loop_
_atom_site_label
_atom_site_fract_x
_atom_site_fract_y
_atom_site_fract_z
Mg1 0.000 0.000 0.000
Mg2 0.000 0.240 0.254
Mg3 0.500 0.000 0.839
Mg4 0.500 0.248 0.591
Si1 0.000 0.000 0.476
Mo1 0.500 0.000 0.354
```

Output
- Crystal system: orthorhombic
- Fermi-level density of states: 10.2 states/eV/cell
- Calculated density: 2.9 g/cm³
- Total moment: 0.00 μB/cell
- Raw formation energy: 0.157 eV per atom